(1)
Here is a relaxed Ni2AgP crystal from the Alexandria database. Energies are from GGA-PBE.

The structure in POSCAR format:
```
Ni2AgP
1.0
6.593 0.000 0.000
0.000 6.593 0.000
3.296 3.296 2.585
P Ni Ag
2 4 2
Direct
0.250 0.750 0.500
0.500 0.500 0.000
0.375 0.441 0.750
0.191 0.625 0.250
0.559 0.125 0.250
0.875 0.809 0.750
0.750 0.250 0.500
0.000 0.000 0.000
```


(2)
Here is a relaxed Ni2AgP crystal from the Alexandria database. Energies are from GGA-PBE.

The structure in POSCAR format:
```
Ni2AgP
1.0
2.988 -3.031 0.000
2.988 3.031 0.000
0.000 0.000 2.857
P Ni Ag
1 2 1
Direct
0.000 0.000 0.500
0.500 0.000 0.000
0.000 0.500 0.000
0.500 0.500 0.500
```


(3)
Here is a relaxed Ni2AgP crystal from the Alexandria database. Energies are from GGA-PBE.

The structure in POSCAR format:
```
Ni2AgP
1.0
-0.510 0.450 -3.448
0.232 -2.848 -0.406
-5.073 -1.874 0.506
Ag Ni P
1 2 1
Direct
0.500 0.500 0.500
0.000 0.850 0.797
0.000 0.150 0.203
0.500 0.500 0.000
```


(4)
Here is a relaxed Ni2AgP crystal from the Alexandria database. Energies are from GGA-PBE.

The structure in POSCAR format:
```
Ni2AgP
1.0
0.000 2.970 2.970
2.970 0.000 2.970
2.970 2.970 0.000
Ni Ag P
2 1 1
Direct
0.000 0.000 0.000
0.750 0.750 0.750
0.500 0.500 0.500
0.250 0.250 0.250
```


Number 1: VASP energy -39.641 eV for the cell shown. Number 2: VASP energy -19.230 eV for the cell shown. Number 3: VASP energy -20.014 eV for the cell shown. Number 4: VASP energy -18.829 eV for the cell shown.